1.
Computed, not measured: a crystal of In2OsPt relaxed with PBEsol at the meta-GGA SCAN level of DFT.

calculated formation energy	14.8	kJ/mol of atoms

```
data_In2OsPt
_chemical_formula_sum 'In2 Os1 Pt1'
_cell_length_a 2.9074
_cell_length_b 4.5032
_cell_length_c 6.2248
_cell_angle_alpha 111.21
_cell_angle_beta 103.51
_cell_angle_gamma 90.00
_symmetry_space_group_name_H-M 'P 1'
_symmetry_Int_Tables_number 1
loop_
_symmetry_equiv_pos_as_xyz
'x,y,z'
loop_
_atom_site_label
_atom_site_type_symbol
_atom_site_fract_x
_atom_site_fract_y
_atom_site_fract_z
_atom_site_occupancy
In1 In 0.9990 0.9990 0.9979 1
In2 In 0.7896 0.2896 0.5792 1
Pt1 Pt 0.2061 0.7061 0.4123 1
Os1 Os 0.5053 0.5053 0.0106 1
```

---

2.
Computed, not measured: a crystal of TaCu2Sb relaxed with PBEsol at the meta-GGA SCAN level of DFT.

formation energy (no corrections)	35.29	kJ/mol of atoms

```
data_TaCu2Sb
_chemical_formula_sum 'Ta1 Cu2 Sb1'
_cell_length_a 3.9008
_cell_length_b 3.9008
_cell_length_c 4.9715
_cell_angle_alpha 113.10
_cell_angle_beta 113.10
_cell_angle_gamma 90.00
_symmetry_space_group_name_H-M 'P 1'
_symmetry_Int_Tables_number 1
loop_
_symmetry_equiv_pos_as_xyz
'x,y,z'
loop_
_atom_site_label
_atom_site_type_symbol
_atom_site_fract_x
_atom_site_fract_y
_atom_site_fract_z
_atom_site_occupancy
Cu1 Cu 0.7500 0.2500 0.5000 1
Sb1 Sb 0.5000 0.5000 0.0000 1
Cu2 Cu 0.2500 0.7500 0.5000 1
Ta1 Ta 0.0000 0.0000 0.0000 1
```

---

3.
Computed, not measured: a crystal of Li2Te2Os relaxed with PBEsol at the meta-GGA SCAN level of DFT.

formation energy (no corrections)	-4.41	kJ/mol of atoms

```
data_Li2Te2Os
_chemical_formula_sum 'Li4 Te4 Os2'
_cell_length_a 4.2845
_cell_length_b 6.9340
_cell_length_c 6.9340
_cell_angle_alpha 90.00
_cell_angle_beta 90.00
_cell_angle_gamma 90.00
_symmetry_space_group_name_H-M 'P 1'
_symmetry_Int_Tables_number 1
loop_
_symmetry_equiv_pos_as_xyz
'x,y,z'
loop_
_atom_site_label
_atom_site_type_symbol
_atom_site_fract_x
_atom_site_fract_y
_atom_site_fract_z
_atom_site_occupancy
Li1 Li 0.5000 0.1609 0.6609 1
Te1 Te 0.0000 0.3409 0.8409 1
Os1 Os 0.0000 0.0000 0.0000 1
Os2 Os 0.0000 0.5000 0.5000 1
Li2 Li 0.5000 0.3391 0.1609 1
Li3 Li 0.5000 0.8391 0.3391 1
Te2 Te 0.0000 0.6591 0.1591 1
Te3 Te 0.0000 0.1591 0.3409 1
Li4 Li 0.5000 0.6609 0.8391 1
Te4 Te 0.0000 0.8409 0.6591 1
```

---

4.
Computed, not measured: a crystal of KMnCl2 relaxed with PBEsol at the meta-GGA SCAN level of DFT.

energy above the most stable polymorph in this dataset	0.000	eV per atom
formation energy (no corrections)	-115.25	kJ/mol of atoms

```
data_KMnCl2
_chemical_formula_sum 'K1 Mn1 Cl2'
_cell_length_a 3.8959
_cell_length_b 3.9026
_cell_length_c 7.0357
_cell_angle_alpha 106.09
_cell_angle_beta 90.00
_cell_angle_gamma 119.94
_symmetry_space_group_name_H-M 'P 1'
_symmetry_Int_Tables_number 1
loop_
_symmetry_equiv_pos_as_xyz
'x,y,z'
loop_
_atom_site_label
_atom_site_type_symbol
_atom_site_fract_x
_atom_site_fract_y
_atom_site_fract_z
_atom_site_occupancy
Mn1 Mn 0.5000 0.0000 0.0000 1
K1 K 0.0000 0.0000 0.5000 1
Cl1 Cl 0.2311 0.4621 0.1940 1
Cl2 Cl 0.7689 0.5379 0.8060 1
```

---

5.
Computed, not measured: a crystal of BRuSe2Cl relaxed with PBEsol at the meta-GGA SCAN level of DFT.

formation energy (no corrections)	180.20	kJ/mol of atoms

```
data_BRuSe2Cl
_chemical_formula_sum 'B1 Ru1 Se2 Cl1'
_cell_length_a 3.6088
_cell_length_b 4.7521
_cell_length_c 4.7521
_cell_angle_alpha 90.00
_cell_angle_beta 90.00
_cell_angle_gamma 90.00
_symmetry_space_group_name_H-M 'P 1'
_symmetry_Int_Tables_number 1
loop_
_symmetry_equiv_pos_as_xyz
'x,y,z'
loop_
_atom_site_label
_atom_site_type_symbol
_atom_site_fract_x
_atom_site_fract_y
_atom_site_fract_z
_atom_site_occupancy
Ru1 Ru 0.5000 0.5000 0.5000 1
B1 B 0.5000 0.0000 0.0000 1
Se1 Se 0.0000 0.5000 0.0000 1
Se2 Se 0.0000 0.0000 0.5000 1
Cl1 Cl 0.0000 0.0000 0.0000 1
```

---

6.
Computed, not measured: a crystal of Mn3CS relaxed with PBEsol at the meta-GGA SCAN level of DFT.

formation energy (no corrections)	107.57	kJ/mol of atoms

```
data_Mn3CS
_chemical_formula_sum 'Mn3 C1 S1'
_cell_length_a 4.1514
_cell_length_b 4.1514
_cell_length_c 4.1514
_cell_angle_alpha 90.00
_cell_angle_beta 90.00
_cell_angle_gamma 90.00
_symmetry_space_group_name_H-M 'P 1'
_symmetry_Int_Tables_number 1
loop_
_symmetry_equiv_pos_as_xyz
'x,y,z'
loop_
_atom_site_label
_atom_site_type_symbol
_atom_site_fract_x
_atom_site_fract_y
_atom_site_fract_z
_atom_site_occupancy
C1 C 0.5000 0.5000 0.5000 1
Mn1 Mn 0.0000 0.0000 0.5000 1
Mn2 Mn 0.5000 0.0000 0.0000 1
S1 S 0.0000 0.0000 0.0000 1
Mn3 Mn 0.0000 0.5000 0.0000 1
```

---

7.
Computed, not measured: a crystal of ZrH relaxed with PBEsol at the meta-GGA SCAN level of DFT.

VASP energy	-17.47	eV/atom

```
data_ZrH
_chemical_formula_sum 'Zr1 H1'
_cell_length_a 3.2161
_cell_length_b 3.3704
_cell_length_c 3.2161
_cell_angle_alpha 61.50
_cell_angle_beta 90.00
_cell_angle_gamma 118.50
_symmetry_space_group_name_H-M 'P 1'
_symmetry_Int_Tables_number 1
loop_
_symmetry_equiv_pos_as_xyz
'x,y,z'
loop_
_atom_site_label
_atom_site_type_symbol
_atom_site_fract_x
_atom_site_fract_y
_atom_site_fract_z
_atom_site_occupancy
H1 H 0.7500 0.5000 0.7500 1
Zr1 Zr 0.0000 0.0000 0.0000 1
```

---

8.
Computed, not measured: a crystal of PmErAl2 relaxed with PBEsol at the meta-GGA SCAN level of DFT.

calculated formation energy	-38.5	kJ/mol of atoms

```
data_PmErAl2
_chemical_formula_sum 'Pm1 Er1 Al2'
_cell_length_a 5.0682
_cell_length_b 5.0682
_cell_length_c 5.0682
_cell_angle_alpha 60.00
_cell_angle_beta 60.00
_cell_angle_gamma 60.00
_symmetry_space_group_name_H-M 'P 1'
_symmetry_Int_Tables_number 1
loop_
_symmetry_equiv_pos_as_xyz
'x,y,z'
loop_
_atom_site_label
_atom_site_type_symbol
_atom_site_fract_x
_atom_site_fract_y
_atom_site_fract_z
_atom_site_occupancy
Al1 Al 0.2500 0.2500 0.2500 1
Er1 Er 0.5000 0.5000 0.5000 1
Al2 Al 0.7500 0.7500 0.7500 1
Pm1 Pm 0.0000 0.0000 0.0000 1
```

---

9.
Computed, not measured: a crystal of ScAu3 relaxed with PBEsol at the meta-GGA SCAN level of DFT.

calculated formation energy	-66.5	kJ/mol of atoms

```
data_ScAu3
_chemical_formula_sum 'Sc2 Au6'
_cell_length_a 4.2108
_cell_length_b 4.2108
_cell_length_c 8.4562
_cell_angle_alpha 104.42
_cell_angle_beta 104.42
_cell_angle_gamma 90.00
_symmetry_space_group_name_H-M 'P 1'
_symmetry_Int_Tables_number 1
loop_
_symmetry_equiv_pos_as_xyz
'x,y,z'
loop_
_atom_site_label
_atom_site_type_symbol
_atom_site_fract_x
_atom_site_fract_y
_atom_site_fract_z
_atom_site_occupancy
Au1 Au 0.8770 0.8770 0.7540 1
Sc1 Sc 0.6286 0.6286 0.2572 1
Au2 Au 0.0000 0.5000 0.0000 1
Au3 Au 0.2500 0.7500 0.5000 1
Au4 Au 0.7500 0.2500 0.5000 1
Sc2 Sc 0.3714 0.3714 0.7428 1
Au5 Au 0.1230 0.1230 0.2460 1
Au6 Au 0.5000 0.0000 0.0000 1
```

---

10.
Computed, not measured: a crystal of KCd2Au relaxed with PBEsol at the meta-GGA SCAN level of DFT.

calculated formation energy	-4.8	kJ/mol of atoms

```
data_KCd2Au
_chemical_formula_sum 'K1 Cd2 Au1'
_cell_length_a 5.0827
_cell_length_b 5.1286
_cell_length_c 5.0827
_cell_angle_alpha 119.70
_cell_angle_beta 90.00
_cell_angle_gamma 119.70
_symmetry_space_group_name_H-M 'P 1'
_symmetry_Int_Tables_number 1
loop_
_symmetry_equiv_pos_as_xyz
'x,y,z'
loop_
_atom_site_label
_atom_site_type_symbol
_atom_site_fract_x
_atom_site_fract_y
_atom_site_fract_z
_atom_site_occupancy
Cd1 Cd 0.7500 0.5000 0.2500 1
K1 K 0.5000 0.0000 0.5000 1
Cd2 Cd 0.0000 0.0000 0.0000 1
Au1 Au 0.2500 0.5000 0.7500 1
```

---

Please write out number 8 again, unchanged.
Computed, not measured: a crystal of PmErAl2 relaxed with PBEsol at the meta-GGA SCAN level of DFT.

calculated formation energy	-38.5	kJ/mol of atoms

```
data_PmErAl2
_chemical_formula_sum 'Pm1 Er1 Al2'
_cell_length_a 5.0682
_cell_length_b 5.0682
_cell_length_c 5.0682
_cell_angle_alpha 60.00
_cell_angle_beta 60.00
_cell_angle_gamma 60.00
_symmetry_space_group_name_H-M 'P 1'
_symmetry_Int_Tables_number 1
loop_
_symmetry_equiv_pos_as_xyz
'x,y,z'
loop_
_atom_site_label
_atom_site_type_symbol
_atom_site_fract_x
_atom_site_fract_y
_atom_site_fract_z
_atom_site_occupancy
Al1 Al 0.2500 0.2500 0.2500 1
Er1 Er 0.5000 0.5000 0.5000 1
Al2 Al 0.7500 0.7500 0.7500 1
Pm1 Pm 0.0000 0.0000 0.0000 1
```